w) ## CePaS3 (GGA-PBE)

Data for crystalline CePaS3 at its relaxed geometry.

Structure (CIF):
```
data_CePaS3
_chemical_formula_sum 'Ce2 Pa2 S6'
_space_group_name_H-M_alt 'P -6 c 2'
_space_group_IT_number 188
_space_group_name_Hall 'P -6c 2'
_cell_length_a 7.1582
_cell_length_b 7.1582
_cell_length_c 7.1446
_cell_angle_alpha 90.00
_cell_angle_beta 90.00
_cell_angle_gamma 120.00
loop_
_atom_site_label
_atom_site_type_symbol
_atom_site_fract_x
_atom_site_fract_y
_atom_site_fract_z
_atom_site_occupancy
Ce1 Ce 0.0000 0.0000 0.0000 1
Pa1 Pa 0.6667 0.3333 0.0000 1
S1 S 0.3425 0.0947 0.2500 1
```

* DOS at the Fermi energy: 19.96 states/eV/cell

x) ## CePaS3 (GGA-PBE)

Data for crystalline CePaS3 at its relaxed geometry.

Structure (CIF):
```
data_CePaS3
_chemical_formula_sum 'Ce4 Pa4 S12'
_space_group_name_H-M_alt 'P n m a'
_space_group_IT_number 62
_cell_length_a 7.422
_cell_length_b 3.945
_cell_length_c 15.276
_cell_angle_alpha 90.00
_cell_angle_beta 90.00
_cell_angle_gamma 90.00
loop_
_space_group_symop_operation_xyz
'x,y,z'
'-x,-y,-z'
'-x+1/2,-y,z+1/2'
'x+1/2,y,-z+1/2'
'x+1/2,-y+1/2,-z+1/2'
'-x+1/2,y+1/2,z+1/2'
'-x,y+1/2,-z'
'x,-y+1/2,z'
loop_
_atom_site_label
_atom_site_type_symbol
_atom_site_fract_x
_atom_site_fract_y
_atom_site_fract_z
_atom_site_occupancy
Ce1 Ce 0.110 0.250 0.206 1
Pa1 Pa 0.243 0.750 0.458 1
S1 S 0.007 0.250 0.399 1
S2 S 0.126 0.750 0.068 1
S3 S 0.168 0.250 0.781 1
```

* DOS at the Fermi energy: 35.30 states/eV/cell

Which structure is the most stable? The one labeled x).

w) ## Ce2PaSb (GGA-PBE)

Data for crystalline Ce2PaSb at its relaxed geometry.

Structure (CIF):
```
data_Ce2PaSb
_chemical_formula_sum 'Ce8 Pa4 Sb4'
_space_group_name_H-M_alt 'F m -3 m'
_space_group_IT_number 225
_space_group_name_Hall '-F 4 2 3'
_cell_length_a 7.551
_cell_length_b 7.551
_cell_length_c 7.551
_cell_angle_alpha 90.00
_cell_angle_beta 90.00
_cell_angle_gamma 90.00
loop_
_atom_site_label
_atom_site_type_symbol
_atom_site_fract_x
_atom_site_fract_y
_atom_site_fract_z
_atom_site_occupancy
Ce1 Ce 0.250 0.250 0.250 1
Pa1 Pa 0.000 0.000 0.000 1
Sb1 Sb 0.000 0.000 0.500 1
```

* DOS at the Fermi energy: 39.29 states/eV/cell

x) ## Ce2PaSb (GGA-PBE)

Data for crystalline Ce2PaSb at its relaxed geometry.

Structure (CIF):
```
data_Ce2PaSb
_chemical_formula_sum 'Ce6 Pa3 Sb3'
_space_group_name_H-M_alt 'R -3 m'
_space_group_IT_number 166
_space_group_name_Hall '-R 3 2"'
_cell_length_a 4.0500
_cell_length_b 4.0500
_cell_length_c 22.3966
_cell_angle_alpha 90.00
_cell_angle_beta 90.00
_cell_angle_gamma 120.00
loop_
_atom_site_label
_atom_site_type_symbol
_atom_site_fract_x
_atom_site_fract_y
_atom_site_fract_z
_atom_site_occupancy
Ce1 Ce 0.0000 0.0000 0.2402 1
Pa1 Pa 0.0000 0.0000 0.5000 1
Sb1 Sb 0.0000 0.0000 0.0000 1
```

* DOS at the Fermi energy: 31.52 states/eV/cell

Which structure is the most stable? The one labeled w).

w) ## Ce2PaSb (GGA-PBE)

Data for crystalline Ce2PaSb at its relaxed geometry.

Structure (CIF):
```
data_Ce2PaSb
_chemical_formula_sum 'Ce2 Pa1 Sb1'
_space_group_name_H-M_alt 'P 4/m m m'
_space_group_IT_number 123
_space_group_name_Hall '-P 4 2'
_cell_length_a 3.971
_cell_length_b 3.971
_cell_length_c 6.761
_cell_angle_alpha 90.00
_cell_angle_beta 90.00
_cell_angle_gamma 90.00
loop_
_atom_site_label
_atom_site_type_symbol
_atom_site_fract_x
_atom_site_fract_y
_atom_site_fract_z
_atom_site_occupancy
Ce1 Ce 0.000 0.000 0.247 1
Pa1 Pa 0.500 0.500 0.500 1
Sb1 Sb 0.500 0.500 0.000 1
```

* DOS at the Fermi energy: 10.99 states/eV/cell

x) ## Ce2PaSb (GGA-PBE)

Data for crystalline Ce2PaSb at its relaxed geometry.

Structure (CIF):
```
data_Ce2PaSb
_chemical_formula_sum 'Ce2 Pa1 Sb1'
_space_group_name_H-M_alt 'P 4/m m m'
_space_group_IT_number 123
_space_group_name_Hall '-P 4 2'
_cell_length_a 4.724
_cell_length_b 4.724
_cell_length_c 4.612
_cell_angle_alpha 90.00
_cell_angle_beta 90.00
_cell_angle_gamma 90.00
loop_
_atom_site_label
_atom_site_type_symbol
_atom_site_fract_x
_atom_site_fract_y
_atom_site_fract_z
_atom_site_occupancy
Ce1 Ce 0.000 0.500 0.000 1
Pa1 Pa 0.000 0.000 0.500 1
Sb1 Sb 0.500 0.500 0.500 1
```

* DOS at the Fermi energy: 10.90 states/eV/cell

Which structure is the most stable? The one labeled x).